DFT (PBE) results for a relaxed RbUGeS6 crystal.

Crystal system = triclinic
Formation energy (no corrections) = -6.7 eV per formula unit
DFT total energy = -5.367 eV/atom
Space group = P1 (1)

Cell: 7.4247 7.3339 7.8632 Å, 94.30 86.81 39.25°
Last column: magnetic moment on the atom in μB.
Fractional positions:
Rb: 0.9385 0.0047 0.9896  0.00
U: 0.5947 0.7024 0.4608  1.25
Ge: 0.4149 0.3850 0.4952  0.01
S: 0.0841 0.2302 0.3014  -0.08
S: 0.2739 0.1461 0.7442  -0.04
S: 0.5822 0.4493 0.6874  -0.02
S: 0.0272 0.5427 0.6683  -0.01
S: 0.3569 0.6147 0.2923  -0.03
S: 0.7275 0.9248 0.3608  -0.04


DFT (PBE) results for a relaxed Rb2YGe2S6 crystal.

Crystal system = monoclinic
Formation energy (no corrections) = -10.1 eV per formula unit
DFT total energy = -4.768 eV/atom
Space group = C2/m (12)

Cell: 7.2555 6.6825 8.5831 Å, 104.95 90.00 122.88°
Last column: magnetic moment on the atom in μB.
Fractional positions:
Rb: 0.6903 0.3806 0.1272  0.00
Rb: 0.3097 0.6194 0.8728  0.00
Y: 0.5000 0.0000 0.5000  0.00
Ge: 0.9598 0.9196 0.6243  0.00
Ge: 0.0402 0.0804 0.3757  0.00
S: 0.7517 0.5034 0.5300  0.15
S: 0.2179 0.9236 0.2414  0.01
S: 0.2943 0.0764 0.7586  0.01
S: 0.7821 0.0764 0.7586  0.01
S: 0.7057 0.9236 0.2414  0.01
S: 0.2483 0.4966 0.4700  0.15


DFT (PBE) results for a relaxed RbYGeS4 crystal.

Crystal system = monoclinic
Formation energy (no corrections) = -8.8 eV per formula unit
DFT total energy = -5.331 eV/atom
Space group = P2_1/m (11)

Cell: 6.5235 6.7613 9.1217 Å, 90.00 107.80 90.00°
Fractional positions:
Rb: 0.7366 0.7500 0.9382
Rb: 0.2634 0.2500 0.0618
Y: 0.7760 0.7500 0.4507
Y: 0.2240 0.2500 0.5493
Ge: 0.2279 0.7500 0.3349
Ge: 0.7721 0.2500 0.6651
S: 0.0041 0.5034 0.7000
S: 0.9959 0.0034 0.3000
S: 0.9959 0.4966 0.3000
S: 0.0041 0.9966 0.7000
S: 0.4287 0.7500 0.1799
S: 0.5713 0.2500 0.8201
S: 0.4407 0.7500 0.5756
S: 0.5593 0.2500 0.4244


DFT (PBE) results for a relaxed RbZn2GeS4 crystal.

Crystal system = orthorhombic
Formation energy (no corrections) = -4.2 eV per formula unit
DFT total energy = -3.603 eV/atom
Space group = Fmm2 (42)

Cell: 6.5398 6.5398 6.4169 Å, 119.39 119.39 92.12°
Fractional positions:
Rb: 0.0073 0.0073 0.0147
Zn: 0.7582 0.2582 0.5163
Zn: 0.2582 0.7582 0.5163
Ge: 0.4959 0.4959 0.9918
S: 0.5375 0.5375 0.6782
S: 0.4603 0.8423 0.3026
S: 0.8423 0.4603 0.3026
S: 0.1407 0.1407 0.6782


DFT (PBE) results for a relaxed Rb2ZnGeS4 crystal.

Crystal system = orthorhombic
Formation energy (no corrections) = -7.3 eV per formula unit
DFT total energy = -3.955 eV/atom
Space group = Fddd (70)

Cell: 5.9818 7.5159 12.0209 Å, 84.32 75.59 66.55°
Fractional positions:
Rb: 0.1802 0.0000 0.6397
Rb: 0.8198 0.0000 0.3603
Rb: 0.5698 0.5000 0.8603
Rb: 0.9302 0.5000 0.1397
Zn: 0.2500 0.5000 0.5000
Zn: 0.5000 0.0000 0.0000
Ge: 0.7500 0.5000 0.5000
Ge: 0.0000 0.0000 0.0000
S: 0.2692 0.8175 0.1060
S: 0.1927 0.1825 0.8940
S: 0.9133 0.8175 0.8940
S: 0.6248 0.1825 0.1060
S: 0.4808 0.6825 0.3940
S: 0.5573 0.3175 0.6060
S: 0.8367 0.6825 0.6060
S: 0.1252 0.3175 0.3940


DFT (PBE) results for a relaxed RbZnGeS2 crystal.

Crystal system = tetragonal
Formation energy (no corrections) = 5.8 eV per formula unit
DFT total energy = -1.854 eV/atom
Space group = P4/mmm (123)

Cell: 5.6700 5.5188 5.6700 Å, 90.00 90.00 90.00°
Fractional positions:
S: 0.0000 0.0000 0.5000
S: 0.5000 0.0000 0.0000
Ge: 0.5000 0.5000 0.5000
Zn: 0.0000 0.5000 0.0000
Rb: 0.0000 0.0000 0.0000


DFT (PBE) results for a relaxed RbZrGeS2 crystal.

Crystal system = tetragonal
Formation energy (no corrections) = -3.4 eV per formula unit
DFT total energy = -5.149 eV/atom
Space group = P4/mmm (123)

Cell: 5.1190 5.2870 5.1190 Å, 90.00 90.00 90.00°
Fractional positions:
S: 0.0000 0.0000 0.5000
S: 0.5000 0.0000 0.0000
Ge: 0.0000 0.5000 0.0000
Rb: 0.5000 0.5000 0.5000
Zr: 0.0000 0.0000 0.0000


DFT (PBE) results for a relaxed RbGe3Sb crystal.

Distance to the lowest polymorph of the same formula = 0.00 kJ per mole of atoms
Crystal system = cubic
Formation energy (no corrections) = 2.8 eV per formula unit
DFT total energy = -3.219 eV/atom
Space group = Pm-3m (221)

Cell: 5.5396 5.5396 5.5396 Å, 90.00 90.00 90.00°
Fractional positions:
Sb: 0.0000 0.0000 0.0000
Ge: 0.0000 0.5000 0.0000
Ge: 0.0000 0.0000 0.5000
Ge: 0.5000 0.0000 0.0000
Rb: 0.5000 0.5000 0.5000


DFT (PBE) results for a relaxed RbGe3Sb3 crystal.

Crystal system = cubic
Formation energy (no corrections) = 0.4 eV per formula unit
DFT total energy = -3.830 eV/atom
Space group = Pm-3n (223)

Cell: 7.9333 7.9333 7.9333 Å, 90.00 90.00 90.00°
Fractional positions:
Sb: 0.0000 0.2500 0.5000
Sb: 0.0000 0.7500 0.5000
Sb: 0.5000 0.0000 0.7500
Sb: 0.7500 0.5000 0.0000
Sb: 0.5000 0.0000 0.2500
Sb: 0.2500 0.5000 0.0000
Ge: 0.2500 0.0000 0.5000
Ge: 0.0000 0.5000 0.2500
Ge: 0.5000 0.7500 0.0000
Ge: 0.7500 0.0000 0.5000
Ge: 0.0000 0.5000 0.7500
Ge: 0.5000 0.2500 0.0000
Rb: 0.5000 0.5000 0.5000
Rb: 0.0000 0.0000 0.0000


DFT (PBE) results for a relaxed RbGeSb3 crystal.

Distance to the lowest polymorph of the same formula = 166.56 kJ per mole of atoms
Crystal system = cubic
Formation energy (no corrections) = 8.0 eV per formula unit
DFT total energy = -1.990 eV/atom
Space group = Pm-3m (221)

Cell: 5.9154 5.9154 5.9154 Å, 90.00 90.00 90.00°
Fractional positions:
Sb: 0.0000 0.5000 0.0000
Sb: 0.0000 0.0000 0.5000
Sb: 0.5000 0.0000 0.0000
Ge: 0.5000 0.5000 0.5000
Rb: 0.0000 0.0000 0.0000


DFT (PBE) results for a relaxed RbGe2Sb crystal.

Crystal system = tetragonal
Formation energy (no corrections) = 0.5 eV per formula unit
DFT total energy = -3.445 eV/atom
Space group = I-42d (122)

Cell: 8.4132 8.4132 6.9338 Å, 52.65 52.65 90.00°
Fractional positions:
Sb: 0.0000 0.0000 0.0000
Sb: 0.7500 0.2500 0.5000
Ge: 0.6866 0.1250 0.2500
Ge: 0.0634 0.6250 0.2500
Ge: 0.3750 0.3134 0.7500
Ge: 0.8750 0.9366 0.7500
Rb: 0.5000 0.5000 0.0000
Rb: 0.2500 0.7500 0.5000


DFT (PBE) results for a relaxed Rb3GeSb crystal.

Distance to the lowest polymorph of the same formula = 47.68 kJ per mole of atoms
Crystal system = cubic
Formation energy (no corrections) = 1.5 eV per formula unit
DFT total energy = -2.034 eV/atom
Space group = Pm-3m (221)

Cell: 7.0022 7.0022 7.0022 Å, 90.00 90.00 90.00°
Last column: magnetic moment on the atom in μB.
Fractional positions:
Sb: 0.0000 0.0000 0.0000  0.28
Ge: 0.5000 0.5000 0.5000  0.83
Rb: 0.0000 0.5000 0.0000  0.02
Rb: 0.0000 0.0000 0.5000  0.03
Rb: 0.5000 0.0000 0.0000  0.01


DFT (PBE) results for a relaxed RbGeSb3 crystal.

Distance to the lowest polymorph of the same formula = 0.00 kJ per mole of atoms
Crystal system = monoclinic
Formation energy (no corrections) = -0.6 eV per formula unit
DFT total energy = -3.716 eV/atom
Space group = P2_1/c (14)

Cell: 5.4120 12.8313 11.0132 Å, 90.04 90.00 90.00°
Fractional positions:
Rb: 0.7930 0.5779 0.2928
Rb: 0.2070 0.4221 0.7072
Rb: 0.2930 0.9221 0.2072
Rb: 0.7070 0.0779 0.7928
Ge: 0.4930 0.3053 0.1320
Ge: 0.5070 0.6947 0.8680
Ge: 0.9930 0.1947 0.3680
Ge: 0.0070 0.8053 0.6320
Sb: 0.2850 0.3658 0.3452
Sb: 0.7150 0.6342 0.6548
Sb: 0.7850 0.1342 0.1548
Sb: 0.2150 0.8658 0.8452
Sb: 0.3968 0.7491 0.4925
Sb: 0.6032 0.2509 0.5075
Sb: 0.8968 0.7509 0.0075
Sb: 0.1032 0.2491 0.9925
Sb: 0.7355 0.9332 0.4819
Sb: 0.2645 0.0668 0.5181
Sb: 0.2355 0.5668 0.0181
Sb: 0.7645 0.4332 0.9819


DFT (PBE) results for a relaxed RbGeSb4 crystal.

Crystal system = triclinic
Formation energy (no corrections) = 0.0 eV per formula unit
DFT total energy = -3.680 eV/atom
Space group = P-1 (2)

Cell: 7.7440 7.7381 8.3546 Å, 80.75 124.85 91.42°
Fractional positions:
Rb: 0.5615 0.7322 0.9553
Rb: 0.4385 0.2678 0.0447
Ge: 0.5000 0.0000 0.5000
Ge: 0.0000 0.5000 0.5000
Sb: 0.8015 0.1100 0.9047
Sb: 0.0046 0.3689 0.1818
Sb: 0.1985 0.8900 0.0953
Sb: 0.9954 0.6311 0.8182
Sb: 0.8341 0.8774 0.4537
Sb: 0.3346 0.6318 0.4521
Sb: 0.1659 0.1226 0.5463
Sb: 0.6654 0.3682 0.5479


DFT (PBE) results for a relaxed Rb5Ge4Sb2 crystal.

Crystal system = monoclinic
Formation energy (no corrections) = 0.7 eV per formula unit
DFT total energy = -2.808 eV/atom
Space group = C2/m (12)

Cell: 7.1520 7.2031 10.0971 Å, 64.44 69.26 60.23°
Fractional positions:
Rb: 0.1711 0.3150 0.8686
Rb: 0.8289 0.6850 0.1314
Rb: 0.0000 0.5000 0.5000
Rb: 0.6453 0.3150 0.8686
Rb: 0.3547 0.6850 0.1314
Ge: 0.3376 0.8575 0.4674
Ge: 0.6624 0.1425 0.5326
Ge: 0.7022 0.8330 0.7625
Ge: 0.2978 0.1670 0.2375
Sb: 0.1812 0.8960 0.7416
Sb: 0.8188 0.1040 0.2584


DFT (PBE) results for a relaxed Rb3Ge2Sb2 crystal.

Crystal system = orthorhombic
Formation energy (no corrections) = -1.7 eV per formula unit
DFT total energy = -3.151 eV/atom
Space group = Immm (71)

Cell: 4.3632 5.8635 11.2696 Å, 105.08 101.16 90.00°
Fractional positions:
Rb: 0.0000 0.0000 0.0000
Rb: 0.6822 0.1822 0.3643
Rb: 0.3178 0.8178 0.6357
Ge: 0.5587 0.5587 0.1173
Ge: 0.4413 0.4413 0.8827
Sb: 0.1371 0.6371 0.2743
Sb: 0.8629 0.3629 0.7257


DFT (PBE) results for a relaxed Rb3GeSb2 crystal.

Distance to the lowest polymorph of the same formula = 11.66 kJ per mole of atoms
Crystal system = monoclinic
Formation energy (no corrections) = -1.0 eV per formula unit
DFT total energy = -2.788 eV/atom
Space group = C2/m (12)

Cell: 5.0991 10.0761 12.6722 Å, 70.91 78.39 75.34°
Fractional positions:
Rb: 0.0536 0.1472 0.7457
Rb: 0.9464 0.8528 0.2543
Rb: 0.6581 0.6713 0.0125
Rb: 0.3419 0.3287 0.9875
Rb: 0.7771 0.8403 0.6054
Rb: 0.2229 0.1597 0.3946
Ge: 0.4264 0.4931 0.6541
Ge: 0.5736 0.5069 0.3459
Sb: 0.8669 0.4897 0.7765
Sb: 0.1331 0.5103 0.2235
Sb: 0.5864 0.2840 0.5433
Sb: 0.4136 0.7160 0.4567


DFT (PBE) results for a relaxed RbGeSb3 crystal.

Distance to the lowest polymorph of the same formula = 38.97 kJ per mole of atoms
Crystal system = cubic
Formation energy (no corrections) = 1.4 eV per formula unit
DFT total energy = -3.312 eV/atom
Space group = Pm-3m (221)

Cell: 5.5635 5.5635 5.5635 Å, 90.00 90.00 90.00°
Fractional positions:
Sb: 0.0000 0.5000 0.0000
Sb: 0.0000 0.0000 0.5000
Sb: 0.5000 0.0000 0.0000
Ge: 0.0000 0.0000 0.0000
Rb: 0.5000 0.5000 0.5000


DFT (PBE) results for a relaxed Rb3GeSb2 crystal.

Distance to the lowest polymorph of the same formula = 0.00 kJ per mole of atoms
Crystal system = orthorhombic
Formation energy (no corrections) = -1.7 eV per formula unit
DFT total energy = -2.908 eV/atom
Space group = Pnma (62)

Cell: 5.1299 14.8159 13.9877 Å, 90.00 90.00 90.00°
Fractional positions:
Rb: 0.2500 0.3878 0.0777
Rb: 0.7500 0.6122 0.9223
Rb: 0.7500 0.8878 0.4223
Rb: 0.2500 0.1122 0.5777
Rb: 0.2500 0.6981 0.1695
Rb: 0.7500 0.3019 0.8305
Rb: 0.7500 0.1981 0.3305
Rb: 0.2500 0.8019 0.6695
Rb: 0.2500 0.4393 0.3834
Rb: 0.7500 0.5607 0.6166
Rb: 0.7500 0.9393 0.1166
Rb: 0.2500 0.0607 0.8834
Ge: 0.2500 0.1353 0.1428
Ge: 0.7500 0.8647 0.8572
Ge: 0.7500 0.6353 0.3572
Ge: 0.2500 0.3647 0.6428
Sb: 0.2500 0.6833 0.4278
Sb: 0.7500 0.3167 0.5722
Sb: 0.7500 0.1833 0.0722
Sb: 0.2500 0.8167 0.9278
Sb: 0.2500 0.0268 0.2906
Sb: 0.7500 0.9732 0.7094
Sb: 0.7500 0.5268 0.2094
Sb: 0.2500 0.4732 0.7906


DFT (PBE) results for a relaxed RbGe3Sb crystal.

Distance to the lowest polymorph of the same formula = 106.79 kJ per mole of atoms
Crystal system = cubic
Formation energy (no corrections) = 8.4 eV per formula unit
DFT total energy = -2.112 eV/atom
Space group = Pm-3m (221)

Cell: 5.5968 5.5968 5.5968 Å, 90.00 90.00 90.00°
Last column: magnetic moment on the atom in μB.
Fractional positions:
Sb: 0.5000 0.5000 0.5000  -0.03
Ge: 0.0000 0.5000 0.0000  0.08
Ge: 0.0000 0.0000 0.5000  0.04
Ge: 0.5000 0.0000 0.0000  0.06
Rb: 0.0000 0.0000 0.0000  0.03


DFT (PBE) results for a relaxed Rb3GeSb crystal.

Distance to the lowest polymorph of the same formula = 0.00 kJ per mole of atoms
Crystal system = triclinic
Formation energy (no corrections) = -1.0 eV per formula unit
DFT total energy = -2.528 eV/atom
Space group = P1 (1)

Cell: 4.2569 11.3948 10.6360 Å, 113.52 89.95 111.87°
Fractional positions:
Rb: 0.9465 0.2524 0.3140
Rb: 0.6391 0.9432 0.7707
Rb: 0.4035 0.2110 0.6509
Rb: 0.0964 0.9018 0.1074
Rb: 0.2086 0.5138 0.0158
Rb: 0.8358 0.6405 0.4061
Ge: 0.2483 0.5514 0.6441
Ge: 0.7986 0.6023 0.7775
Sb: 0.6154 0.9215 0.3944
Sb: 0.4278 0.2326 0.0270


DFT (PBE) results for a relaxed Rb5Ge2Sb5 crystal.

Crystal system = monoclinic
Formation energy (no corrections) = -2.4 eV per formula unit
DFT total energy = -3.092 eV/atom
Space group = C2/m (12)

Cell: 4.8735 10.0668 15.8904 Å, 135.92 90.00 104.01°
Fractional positions:
Rb: 0.5000 0.0000 0.5000
Rb: 0.7258 0.4515 0.1156
Rb: 0.6505 0.3010 0.2872
Rb: 0.3495 0.6990 0.7128
Rb: 0.2742 0.5485 0.8844
Ge: 0.0604 0.1207 0.8787
Ge: 0.9396 0.8793 0.1213
Sb: 0.0582 0.1165 0.3711
Sb: 0.5774 0.1547 0.7846
Sb: 0.4226 0.8453 0.2154
Sb: 0.9418 0.8835 0.6289
Sb: 0.0000 0.0000 0.0000